Here is a geometry-optimized K3Mn2CoF9 structure from Alexandria. Energies are from GGA+U.

Results
Raw total energy, eV/cell: -80.1
Space-group type: No. 164
Calculated density, g/cm3: 3.38

Structure (extended XYZ):
```
15
Lattice="5.959 0.000 0.000 -2.980 5.161 0.000 0.000 0.000 7.302" Properties=species:S:1:pos:R:3 pbc="T T T"
K 0.000 0.000 0.000
K 0.000 3.440 4.851
K 2.980 1.720 2.451
Mn 0.000 3.440 1.247
Mn 2.980 1.720 6.054
Co 0.000 0.000 3.651
F -1.490 2.580 0.000
F 0.000 1.690 2.470
F -1.516 4.316 2.470
F 1.464 0.845 4.832
F 2.980 0.000 0.000
F 1.490 2.580 0.000
F 1.516 4.316 2.470
F 4.495 0.845 4.832
F 2.980 3.470 4.832
```